(1)
First-principles (PBE-GGA) data for AsPbCl2 after structural relaxation, as listed in Alexandria via LeMat-Bulk.

Cell: 4.692 4.692 10.028 Å, 76.47 76.47 90.00°
Atoms (fractional coordinates):
Pb 0.000 0.000 0.000
Pb 0.750 0.250 0.500
Cl 0.875 0.852 0.750
Cl 0.375 0.398 0.750
Cl 0.148 0.625 0.250
Cl 0.602 0.125 0.250
As 0.250 0.750 0.500
As 0.500 0.500 0.000

Summary:
E_form (uncorrected) in eV per atom: -0.22
Calculated volume in Å³ per cell: 208
Density of states at the Fermi level in states/eV per atom: 0.696
Total magnetization in μB/cell: 0.00

---

(2)
First-principles (PBE-GGA) data for AsPb4Cl after structural relaxation, as listed in Alexandria via LeMat-Bulk.

Cell: 6.421 6.421 6.421 Å, 60.00 60.00 60.00°
Atoms (fractional coordinates):
Pb 0.375 0.375 0.375
Pb 0.375 0.874 0.375
Pb 0.375 0.375 0.874
Pb 0.874 0.375 0.375
As 0.750 0.750 0.750
Cl 0.000 0.000 0.000

Summary:
E_form (uncorrected) in eV per atom: 0.24
Calculated volume in Å³ per cell: 187
Density of states at the Fermi level in states/eV per atom: 0.649
Total magnetization in μB/cell: 0.00

---

(3)
First-principles (PBE-GGA) data for AsPbCl2 after structural relaxation, as listed in Alexandria via LeMat-Bulk.

Cell: 5.079 5.079 5.079 Å, 60.00 60.00 60.00°
Atoms (fractional coordinates):
Cl 0.250 0.250 0.250
Cl 0.000 0.000 0.000
Pb 0.750 0.750 0.750
As 0.500 0.500 0.500

Summary:
E_form (uncorrected) in eV per atom: -0.03
Calculated volume in Å³ per cell: 93
Density of states at the Fermi level in states/eV per atom: 1.133
Total magnetization in μB/cell: 0.00

---

(4)
First-principles (PBE-GGA) data for AsPb2Cl after structural relaxation, as listed in Alexandria via LeMat-Bulk.

Cell: 5.582 5.582 3.387 Å, 89.89 89.89 90.06°
Atoms (fractional coordinates):
Pb 0.000 0.000 0.000
Pb 0.500 0.500 0.000
Cl 0.000 0.500 0.500
As 0.500 0.000 0.500

Summary:
E_form (uncorrected) in eV per atom: -0.24
Calculated volume in Å³ per cell: 106
Density of states at the Fermi level in states/eV per atom: 0.143
Total magnetization in μB/cell: 0.00